1.
The following is a DFT calculation (PBE-GGA) of a relaxed CeHoMg2Tl4 crystal.

* formation energy from the elements: -0.21 eV per atom

Unit cell a=9.2585 b=9.2585 c=9.2585 alpha=33.04 beta=33.04 gamma=33.04
Closest atoms and distances in Å follow each position.
Element x y z (fractional)
Ce (0.0000, 0.0000, 0.0000)  8 Tl 3.26-3.31
Ho (0.5000, 0.5000, 0.5000)  8 Tl 3.20-3.22
Mg (0.2497, 0.2497, 0.2497)  8 Tl 3.21-3.36
Mg (0.7503, 0.7503, 0.7503)  8 Tl 3.21-3.36
Tl (0.1262, 0.1262, 0.1262)  3 Ho 3.22, 4 Mg 3.24, 1 Ce 3.31
Tl (0.3779, 0.3779, 0.3779)  1 Ho 3.20, 4 Mg 3.21-3.36, 3 Ce 3.26
Tl (0.6221, 0.6221, 0.6221)  1 Ho 3.20, 4 Mg 3.21-3.36, 3 Ce 3.26
Tl (0.8738, 0.8738, 0.8738)  3 Ho 3.22, 4 Mg 3.24, 1 Ce 3.31

2.
The following is a DFT calculation (PBE-GGA) of a relaxed CeSmPt crystal.

* formation energy from the elements: -0.75 eV per atom
* energy above the lowest structure with this stoichiometry: 0.008 eV per atom

Unit cell a=8.9139 b=8.9139 c=8.9139 alpha=116.10 beta=84.83 gamma=130.55
Closest atoms and distances in Å follow each position.
Element x y z (fractional)
Ce (0.0000, 0.0000, 0.0000)  4 Pt 2.88-3.06
Ce (0.0000, 0.5000, 0.5000)  4 Pt 2.88-3.06
Ce (0.5023, 0.1520, 0.3876)  4 Pt 2.84-3.17
Ce (0.5023, 0.6146, 0.8503)  4 Pt 2.84-3.17
Ce (0.7644, 0.1146, 0.6124)  4 Pt 2.84-3.17
Ce (0.7644, 0.6520, 0.1497)  4 Pt 2.84-3.17
Sm (0.1614, 0.2127, 0.4487)  5 Pt 3.30-3.45, 6 Ce 3.38-3.53
Sm (0.1904, 0.7244, 0.9660)  5 Pt 2.97-3.24
Sm (0.3349, 0.5921, 0.2428)  5 Pt 3.01-3.35
Sm (0.3494, 0.0921, 0.7572)  5 Pt 3.01-3.35
Sm (0.7585, 0.2244, 0.0340)  5 Pt 2.97-3.24
Sm (0.7640, 0.7127, 0.5513)  5 Pt 3.30-3.45, 6 Ce 3.38-3.53
Pt (0.0946, 0.2628, 0.8428)  3 Ce 2.84-2.88, 1 Sm 3.15
Pt (0.0946, 0.7518, 0.3318)  3 Ce 2.84-2.88, 1 Sm 3.15
Pt (0.4200, 0.2518, 0.1572)  3 Ce 2.84-2.88, 1 Sm 3.15
Pt (0.4200, 0.7628, 0.6682)  3 Ce 2.84-2.88, 1 Sm 3.15
Pt (0.7121, 0.9941, 0.2180)  6 Ce 2.97-3.17, 2 Sm 2.97-3.01
Pt (0.7761, 0.4941, 0.7820)  6 Ce 2.97-3.17, 2 Sm 2.97-3.01

3.
The following is a DFT calculation (PBE-GGA) of a relaxed CaTaCu2F crystal.

* E_form (uncorrected): 0.13 eV/atom

Unit cell a=4.8149 b=4.8149 c=4.0315 alpha=90.00 beta=90.00 gamma=90.00
Closest atoms and distances in Å follow each position.
Element x y z (fractional)
Ca (0.0000, 0.0000, 0.0000)  8 Cu 3.14, 4 Ta 3.40
Ta (0.5000, 0.5000, 0.0000)  2 F 2.02
Cu (0.0000, 0.5000, 0.5000)  2 F 2.41
Cu (0.5000, 0.0000, 0.5000)  2 F 2.41
F (0.5000, 0.5000, 0.5000)  2 Ta 2.02

4.
The following is a DFT calculation (PBE-GGA) of a relaxed LiMgBr crystal.

* E_form (uncorrected): -0.81 eV/atom
* energy above the lowest structure with this stoichiometry: 0.006 eV per atom

Unit cell a=3.6626 b=3.6626 c=10.8285 alpha=90.00 beta=90.00 gamma=90.00
Closest atoms and distances in Å follow each position.
Element x y z (fractional)
Li (0.2500, 0.2500, 0.2248)  4 Br 2.66
Li (0.7500, 0.7500, 0.7752)  4 Br 2.66
Mg (0.2500, 0.2500, 0.5710)  1 Br 2.83, 4 Mg 3.01
Mg (0.7500, 0.7500, 0.4290)  1 Br 2.83, 4 Mg 3.01
Br (0.2500, 0.2500, 0.8321)  4 Li 2.66, 1 Mg 2.83
Br (0.7500, 0.7500, 0.1679)  4 Li 2.66, 1 Mg 2.83

5.
The following is a DFT calculation (PBE-GGA) of a relaxed BaGeBr2 crystal.

* E_form (uncorrected): -0.83 eV/atom
* energy above the lowest structure with this stoichiometry: 0.000 eV per atom

Unit cell a=5.6447 b=5.6447 c=5.6447 alpha=60.00 beta=60.00 gamma=60.00
Closest atoms and distances in Å follow each position.
Element x y z (fractional)
Ba (0.0000, 0.0000, 0.0000)  8 Br 3.46
Ge (0.5000, 0.5000, 0.5000)  8 Br 3.46
Br (0.2500, 0.2500, 0.2500)  4 Ba 3.46, 4 Ge 3.46
Br (0.7500, 0.7500, 0.7500)  4 Ge 3.46, 4 Ba 3.46

6.
The following is a DFT calculation (PBE-GGA) of a relaxed NaAc2In4Au3 crystal.

* formation energy from the elements: -0.48 eV per atom

Unit cell a=4.6128 b=4.6128 c=12.4556 alpha=90.00 beta=90.00 gamma=90.00
Closest atoms and distances in Å follow each position.
Element x y z (fractional)
Na (0.0000, 0.0000, 0.0000)  4 In 2.91
Ac (0.0000, 0.5000, 0.7343)  4 Au 3.48, 8 In 3.61-3.72
Ac (0.5000, 0.0000, 0.2657)  4 Au 3.48, 8 In 3.61-3.72
In (0.0000, 0.0000, 0.5000)  4 Au 2.87
In (0.0000, 0.5000, 0.1421)  3 Au 2.75-2.91, 2 Na 2.91
In (0.5000, 0.0000, 0.8579)  3 Au 2.75-2.91, 2 Na 2.91
In (0.5000, 0.5000, 0.5000)  4 Au 2.87
Au (0.0000, 0.5000, 0.3630)  5 In 2.75-2.87
Au (0.5000, 0.0000, 0.6370)  5 In 2.75-2.87
Au (0.5000, 0.5000, 0.0000)  4 In 2.91

What did the second record say?
The following is a DFT calculation (PBE-GGA) of a relaxed CeSmPt crystal.

* formation energy from the elements: -0.75 eV per atom
* energy above the lowest structure with this stoichiometry: 0.008 eV per atom

Unit cell a=8.9139 b=8.9139 c=8.9139 alpha=116.10 beta=84.83 gamma=130.55
Closest atoms and distances in Å follow each position.
Element x y z (fractional)
Ce (0.0000, 0.0000, 0.0000)  4 Pt 2.88-3.06
Ce (0.0000, 0.5000, 0.5000)  4 Pt 2.88-3.06
Ce (0.5023, 0.1520, 0.3876)  4 Pt 2.84-3.17
Ce (0.5023, 0.6146, 0.8503)  4 Pt 2.84-3.17
Ce (0.7644, 0.1146, 0.6124)  4 Pt 2.84-3.17
Ce (0.7644, 0.6520, 0.1497)  4 Pt 2.84-3.17
Sm (0.1614, 0.2127, 0.4487)  5 Pt 3.30-3.45, 6 Ce 3.38-3.53
Sm (0.1904, 0.7244, 0.9660)  5 Pt 2.97-3.24
Sm (0.3349, 0.5921, 0.2428)  5 Pt 3.01-3.35
Sm (0.3494, 0.0921, 0.7572)  5 Pt 3.01-3.35
Sm (0.7585, 0.2244, 0.0340)  5 Pt 2.97-3.24
Sm (0.7640, 0.7127, 0.5513)  5 Pt 3.30-3.45, 6 Ce 3.38-3.53
Pt (0.0946, 0.2628, 0.8428)  3 Ce 2.84-2.88, 1 Sm 3.15
Pt (0.0946, 0.7518, 0.3318)  3 Ce 2.84-2.88, 1 Sm 3.15
Pt (0.4200, 0.2518, 0.1572)  3 Ce 2.84-2.88, 1 Sm 3.15
Pt (0.4200, 0.7628, 0.6682)  3 Ce 2.84-2.88, 1 Sm 3.15
Pt (0.7121, 0.9941, 0.2180)  6 Ce 2.97-3.17, 2 Sm 2.97-3.01
Pt (0.7761, 0.4941, 0.7820)  6 Ce 2.97-3.17, 2 Sm 2.97-3.01